# Sm2SiAg | Alexandria via LeMat-Bulk | PBE-GGA | optimized geometry
data_Sm2SiAg
_space_group_name_H-M_alt 'P 1'
_space_group_IT_number 1
_cell_length_a 5.1048
_cell_length_b 5.1048
_cell_length_c 3.7333
_cell_angle_alpha 90.00
_cell_angle_beta 90.00
_cell_angle_gamma 90.00
loop_
_space_group_symop_operation_xyz
'x,y,z'
loop_
_atom_site_label
_atom_site_fract_x
_atom_site_fract_y
_atom_site_fract_z
Sm1 0.0000 0.5000 0.0000
Sm2 0.5000 0.0000 0.0000
Si1 0.0000 0.0000 0.5000
Ag1 0.5000 0.5000 0.5000
# Theoretical density in Mg/m³: 7.45
# Raw total energy in eV/cell: -19.33
# Fermi-level density of states in states/eV per atom: 0.949